Record 1
Ba2CaIr | PBE-GGA | relaxed

a b c (Å): 5.601 5.601 8.512
angles (deg): 107.66 107.66 43.21
Sites, in units of the cell vectors:
Ba 0.000 0.000 0.000
Ba 0.150 0.150 0.562
Ca 0.341 0.341 0.282
Ir 0.628 0.628 0.281

Computed properties:
Crystal system = monoclinic
Raw total energy = -3.80 eV per atom
DOS at the Fermi energy = 2.2 states/eV/cell
Formation enthalpy at 0 K = -0.12 eV per atom
Total magnetic moment = 0.0 μB per cell
V = 172.9 Å³ per cell

Record 2
CuAg4Pd4 | PBE-GGA | relaxed

a b c (Å): 6.332 6.332 6.332
angles (deg): 95.83 95.83 142.83
Sites, in units of the cell vectors:
Cu 0.000 0.000 0.000
Ag 0.335 0.335 0.670
Ag 0.335 0.665 0.000
Ag 0.665 0.335 0.000
Ag 0.665 0.665 0.330
Pd 0.000 0.333 0.333
Pd 0.000 0.667 0.667
Pd 0.333 0.000 0.333
Pd 0.667 0.000 0.667

Computed properties:
Crystal system = tetragonal
Raw total energy = -4.05 eV per atom
DOS at the Fermi energy = 3.0 states/eV/cell
Formation enthalpy at 0 K = -0.02 eV per atom
Total magnetic moment = 0.0 μB per cell
V = 145.4 Å³ per cell